Density functional theory data (GGA-PBE) for a geometry-optimized SmDyGa structure.

a = 4.4607 Å, b = 7.9358 Å, c = 7.9358 Å
α = 120.00°, β = 90.00°, γ = 90.00°
Fractional coordinates of all 9 atoms:
Sm 0.5000 0.4023 0.4023
Dy 0.0000 0.2659 0.0000
Sm 0.5000 0.5977 0.0000
Dy 0.0000 0.7341 0.7341
Ga 0.5000 0.0000 0.0000
Sm 0.5000 0.0000 0.5977
Dy 0.0000 0.0000 0.2659
Ga 0.0000 0.3333 0.6667
Ga 0.0000 0.6667 0.3333

Properties
DFT formation energy = -0.40 eV per atom
V = 243 Å³/cell
Energy = -4.520 eV per atom
Symmetry = P-62m, No. 189

---

Density functional theory data (GGA-PBE) for a geometry-optimized Ga2Hg2Bi structure.

a = 8.4926 Å, b = 8.4926 Å, c = 3.4385 Å
α = 90.00°, β = 90.00°, γ = 90.00°
Fractional coordinates of all 10 atoms:
Hg 0.1659 0.3341 0.0000
Hg 0.8341 0.6659 0.0000
Ga 0.6309 0.8691 0.5000
Ga 0.1309 0.6309 0.5000
Hg 0.3341 0.8341 0.0000
Ga 0.3691 0.1309 0.5000
Ga 0.8691 0.3691 0.5000
Bi 0.5000 0.5000 0.0000
Bi 0.0000 0.0000 0.0000
Hg 0.6659 0.1659 0.0000

Properties
DFT formation energy = 0.10 eV per atom
V = 248 Å³/cell
Energy = -2.009 eV per atom
Symmetry = P4/mbm, No. 127

---

Density functional theory data (GGA-PBE) for a geometry-optimized HfTc2Pt structure.

a = 4.5165 Å, b = 4.5165 Å, c = 4.5165 Å
α = 60.00°, β = 60.00°, γ = 60.00°
Fractional coordinates of all 4 atoms:
Tc 0.2500 0.2500 0.2500
Tc 0.7500 0.7500 0.7500
Hf 0.0000 0.0000 0.0000
Pt 0.5000 0.5000 0.5000

Properties
DFT formation energy = -0.06 eV per atom
V = 65 Å³/cell
Energy = -9.238 eV per atom
Symmetry = Fm-3m, No. 225

---

Density functional theory data (GGA-PBE) for a geometry-optimized LaCrSb3 structure.

a = 5.1915 Å, b = 5.1915 Å, c = 5.1915 Å
α = 90.00°, β = 90.00°, γ = 90.00°
Site moments in Bohr magnetons follow the coordinates.
Fractional coordinates of all 5 atoms:
La 0.5000 0.5000 0.5000  0.13
Sb 0.0000 0.5000 0.0000  0.01
Cr 0.0000 0.0000 0.0000  2.67
Sb 0.5000 0.0000 0.0000  -0.06
Sb 0.0000 0.0000 0.5000  -0.01

Properties
V = 140 Å³/cell
Energy = -5.506 eV per atom
Formation energy (no corrections) = -12 kJ per mole of atoms
Symmetry = Pm-3m, No. 221

---

Density functional theory data (GGA-PBE) for a geometry-optimized LaTbNd2Ho5 structure.

a = 8.6535 Å, b = 8.6535 Å, c = 9.9707 Å
α = 115.72°, β = 115.72°, γ = 90.00°
Fractional coordinates of all 18 atoms:
Tb 0.7500 0.7500 0.5000
Nd 0.6189 0.1189 0.0000
Ho 0.8462 0.9303 0.2765
Ho 0.9303 0.4303 0.2765
Ho 0.0697 0.5697 0.7235
Nd 0.8811 0.6189 0.0000
La 0.7500 0.2500 0.5000
Ho 0.3462 0.8462 0.2765
Ho 0.5697 0.6538 0.7235
Ho 0.4303 0.3462 0.2765
Ho 0.1538 0.0697 0.7235
Nd 0.3811 0.8811 0.0000
Nd 0.1189 0.3811 0.0000
La 0.2500 0.7500 0.5000
Ho 0.5000 0.5000 0.0000
Ho 0.6538 0.1538 0.7235
Tb 0.2500 0.2500 0.5000
Ho 0.0000 0.0000 0.0000

Properties
DFT formation energy = 0.25 eV per atom
V = 590 Å³/cell
Energy = -4.416 eV per atom
Symmetry = I4/mcm, No. 140

---

Density functional theory data (GGA-PBE) for a geometry-optimized CaFe2Re structure.

a = 5.1624 Å, b = 5.1624 Å, c = 5.1624 Å
α = 136.93°, β = 136.93°, γ = 62.54°
Site moments in Bohr magnetons follow the coordinates.
Fractional coordinates of all 4 atoms:
Ca 0.7500 0.2500 0.5000  -0.04
Re 0.5000 0.5000 0.0000  -0.01
Fe 0.0000 0.0000 0.0000  2.46
Fe 0.2500 0.7500 0.5000  2.44

Properties
DFT formation energy = 0.89 eV per atom
V = 63 Å³/cell
Energy = -6.958 eV per atom
Symmetry = I-4m2, No. 119

---

Density functional theory data (GGA-PBE) for a geometry-optimized As2WSeCl structure.

a = 4.9499 Å, b = 4.9499 Å, c = 4.8187 Å
α = 90.00°, β = 90.00°, γ = 90.00°
Fractional coordinates of all 5 atoms:
Cl 0.5000 0.5000 0.5000
As 0.5000 0.0000 0.0000
As 0.0000 0.5000 0.0000
Se 0.0000 0.0000 0.5000
W 0.0000 0.0000 0.0000

Properties
V = 118 Å³/cell
Energy = -5.237 eV per atom
Formation energy (no corrections) = 27 kJ per mole of atoms
Symmetry = P4/mmm, No. 123

---

Density functional theory data (GGA-PBE) for a geometry-optimized NiAs structure.

a = 7.0696 Å, b = 7.0696 Å, c = 2.8987 Å
α = 90.00°, β = 90.00°, γ = 90.00°
Fractional coordinates of all 8 atoms:
As 0.3030 0.3030 0.0000
Ni 0.6264 0.3736 0.0000
Ni 0.3736 0.6264 0.0000
Ni 0.8736 0.8736 0.5000
Ni 0.1264 0.1264 0.5000
As 0.8030 0.1970 0.5000
As 0.6970 0.6970 0.0000
As 0.1970 0.8030 0.5000

Properties
DFT formation energy = -0.08 eV per atom
V = 145 Å³/cell
Energy = -5.293 eV per atom
Symmetry = P4_2/mnm, No. 136

---

Density functional theory data (GGA-PBE) for a geometry-optimized SrCaSb4 structure.

a = 6.4399 Å, b = 6.4399 Å, c = 6.4399 Å
α = 60.00°, β = 60.00°, γ = 60.00°
Fractional coordinates of all 6 atoms:
Ca 0.0000 0.0000 0.0000
Sb 0.3745 0.8765 0.3745
Sb 0.3745 0.3745 0.8765
Sr 0.7500 0.7500 0.7500
Sb 0.3745 0.3745 0.3745
Sb 0.8765 0.3745 0.3745

Properties
V = 189 Å³/cell
Energy = -3.703 eV per atom
Formation energy (no corrections) = -33 kJ per mole of atoms
Symmetry = F-43m, No. 216

---

Density functional theory data (GGA-PBE) for a geometry-optimized TiInTe2F structure.

a = 5.5666 Å, b = 5.5666 Å, c = 3.9572 Å
α = 90.00°, β = 90.00°, γ = 90.00°
Site moments in Bohr magnetons follow the coordinates.
Fractional coordinates of all 5 atoms:
Ti 0.0000 0.0000 0.0000  0.18
Te 0.0000 0.5000 0.0000  -0.02
F 0.0000 0.0000 0.5000  0.00
Te 0.5000 0.0000 0.0000  -0.02
In 0.5000 0.5000 0.5000  -0.01

Properties
V = 123 Å³/cell
Energy = -4.856 eV per atom
Formation energy (no corrections) = -106 kJ per mole of atoms
Symmetry = P4/mmm, No. 123

---

Density functional theory data (GGA-PBE) for a geometry-optimized Na3TcW structure.

a = 5.7390 Å, b = 5.7390 Å, c = 5.7390 Å
α = 90.00°, β = 90.00°, γ = 90.00°
Site moments in Bohr magnetons follow the coordinates.
Fractional coordinates of all 5 atoms:
Tc 0.5000 0.5000 0.5000  3.59
W 0.0000 0.0000 0.0000  3.32
Na 0.5000 0.0000 0.0000  0.01
Na 0.0000 0.0000 0.5000  0.00
Na 0.0000 0.5000 0.0000  0.01

Properties
DFT formation energy = 2.44 eV per atom
V = 189 Å³/cell
Energy = -3.016 eV per atom
Symmetry = Pm-3m, No. 221

---

Density functional theory data (GGA-PBE) for a geometry-optimized Sm6YTm4 structure.

a = 6.6076 Å, b = 6.6076 Å, c = 9.7458 Å
α = 109.82°, β = 109.82°, γ = 90.00°
Fractional coordinates of all 11 atoms:
Sm 0.8648 0.4881 0.3529
Sm 0.1352 0.1352 0.6471
Sm 0.5000 0.0000 0.0000
Sm 0.5119 0.5119 0.6471
Sm 0.0000 0.5000 0.0000
Tm 0.9483 0.9483 0.2555
Tm 0.3072 0.3072 0.2555
Tm 0.6928 0.0517 0.7445
Y 0.5000 0.5000 0.0000
Sm 0.4881 0.8648 0.3529
Tm 0.0517 0.6928 0.7445

Properties
DFT formation energy = 0.31 eV per atom
V = 373 Å³/cell
Energy = -4.475 eV per atom
Symmetry = I-42m, No. 121

---

Table of size of the total moment (μB per cell), in record order: 0.0 0.0 0.0 3.1 0.0 4.8 0.0 0.0 0.0 0.1 8.6 0.0